{"formula": "TcNiNO2", "functional": "PBE with a Hubbard U", "state": "relaxed", "cell": [[3.6870, 0.0000, 0.0000], [0.0000, 3.6870, 0.0000], [0.0000, 0.0000, 3.7842]], "species": ["Tc", "Ni", "N", "O", "O"], "frac_coords": [[0.0000, 0.0000, 0.0000], [0.5000, 0.5000, 0.5000], [0.5000, 0.5000, 0.0000], [0.0000, 0.5000, 0.5000], [0.5000, 0.0000, 0.5000]], "final_energy_ev_per_cell": -28.1, "sg": "P4/mmm", "n_ef_per_ev_cell": 2.63}